[1]
Crystalline RbCr3Te at its relaxed geometry. Source: Alexandria, functional PBE.

## Properties
* E_tot: -5.528 eV/atom
* E_form (uncorrected): 1.07 eV/atom
* symmetry: No. 221
* energy above the lowest structure with this stoichiometry: 0 meV/atom
* Fermi-level density of states: 0.86 states/eV/atom

The structure in CIF format:
```
data_RbCr3Te
_cell_length_a 5.494
_cell_length_b 5.494
_cell_length_c 5.494
_cell_angle_alpha 90.00
_cell_angle_beta 90.00
_cell_angle_gamma 90.00
_symmetry_space_group_name_H-M 'P 1'
_symmetry_Int_Tables_number 1
loop_
_symmetry_equiv_pos_as_xyz
'x,y,z'
loop_
_atom_site_label
_atom_site_type_symbol
_atom_site_fract_x
_atom_site_fract_y
_atom_site_fract_z
Rb1 Rb 0.000 0.000 0.000
Cr1 Cr 0.000 0.500 0.500
Cr2 Cr 0.500 0.000 0.500
Cr3 Cr 0.500 0.500 0.000
Te1 Te 0.500 0.500 0.500
```


[2]
Crystalline HoEr6Sc at its relaxed geometry. Source: Alexandria, functional PBE.

## Properties
* E_tot: -4.581 eV/atom
* symmetry: No. 12
* energy above the lowest structure with this stoichiometry: 0 meV/atom
* formation energy from the elements: 0.21 eV/atom
* Fermi-level density of states: 1.60 states/eV/atom

The structure in CIF format:
```
data_HoEr6Sc
_cell_length_a 6.478
_cell_length_b 6.478
_cell_length_c 6.619
_cell_angle_alpha 90.01
_cell_angle_beta 90.01
_cell_angle_gamma 119.93
_symmetry_space_group_name_H-M 'P 1'
_symmetry_Int_Tables_number 1
loop_
_symmetry_equiv_pos_as_xyz
'x,y,z'
loop_
_atom_site_label
_atom_site_type_symbol
_atom_site_fract_x
_atom_site_fract_y
_atom_site_fract_z
Ho1 Ho 0.000 0.000 0.000
Er1 Er 0.002 0.448 0.253
Er2 Er 0.445 0.445 0.747
Er3 Er 0.448 0.002 0.253
Er4 Er 0.552 0.998 0.747
Er5 Er 0.555 0.555 0.253
Er6 Er 0.998 0.552 0.747
Sc1 Sc 0.000 0.000 0.500
```


[3]
Crystalline InHg2PtBr at its relaxed geometry. Source: Alexandria, functional PBE.

## Properties
* E_tot: -2.480 eV/atom
* E_form (uncorrected): -0.27 eV/atom
* symmetry: No. 123
* Fermi-level density of states: 0.44 states/eV/atom

The structure in CIF format:
```
data_InHg2PtBr
_cell_length_a 5.312
_cell_length_b 5.312
_cell_length_c 5.282
_cell_angle_alpha 90.00
_cell_angle_beta 90.00
_cell_angle_gamma 90.00
_symmetry_space_group_name_H-M 'P 1'
_symmetry_Int_Tables_number 1
loop_
_symmetry_equiv_pos_as_xyz
'x,y,z'
loop_
_atom_site_label
_atom_site_type_symbol
_atom_site_fract_x
_atom_site_fract_y
_atom_site_fract_z
In1 In 0.000 0.000 0.000
Hg1 Hg 0.000 0.500 0.500
Hg2 Hg 0.500 0.000 0.500
Pt1 Pt 0.000 0.000 0.500
Br1 Br 0.500 0.500 0.000
```


[4]
Crystalline MgTc at its relaxed geometry. Source: Alexandria, functional PBE.

## Properties
* E_tot: -5.813 eV/atom
* symmetry: No. 11
* energy above the lowest structure with this stoichiometry: 192 meV/atom
* formation energy from the elements: 0.17 eV/atom
* Fermi-level density of states: 0.68 states/eV/atom

The structure in CIF format:
```
data_MgTc
_cell_length_a 2.807
_cell_length_b 4.371
_cell_length_c 5.482
_cell_angle_alpha 90.00
_cell_angle_beta 101.18
_cell_angle_gamma 90.00
_symmetry_space_group_name_H-M 'P 1'
_symmetry_Int_Tables_number 1
loop_
_symmetry_equiv_pos_as_xyz
'x,y,z'
loop_
_atom_site_label
_atom_site_type_symbol
_atom_site_fract_x
_atom_site_fract_y
_atom_site_fract_z
Mg1 Mg 0.148 0.250 0.369
Mg2 Mg 0.852 0.750 0.631
Tc1 Tc 0.420 0.750 0.098
Tc2 Tc 0.580 0.250 0.902
```


[5]
Crystalline SrGd3 at its relaxed geometry. Source: Alexandria, functional PBE.

## Properties
* E_tot: -10.802 eV/atom
* symmetry: No. 221
* formation energy from the elements: 0.18 eV/atom
* Fermi-level density of states: 2.51 states/eV/atom

The structure in CIF format:
```
data_SrGd3
_cell_length_a 5.265
_cell_length_b 5.265
_cell_length_c 5.265
_cell_angle_alpha 90.00
_cell_angle_beta 90.00
_cell_angle_gamma 90.00
_symmetry_space_group_name_H-M 'P 1'
_symmetry_Int_Tables_number 1
loop_
_symmetry_equiv_pos_as_xyz
'x,y,z'
loop_
_atom_site_label
_atom_site_type_symbol
_atom_site_fract_x
_atom_site_fract_y
_atom_site_fract_z
Sr1 Sr 0.000 0.000 0.000
Gd1 Gd 0.000 0.500 0.500
Gd2 Gd 0.500 0.000 0.500
Gd3 Gd 0.500 0.500 0.000
```


[6]
Crystalline Tl2CdCu at its relaxed geometry. Source: Alexandria, functional PBE.

## Properties
* E_tot: -2.147 eV/atom
* symmetry: No. 216
* energy above the lowest structure with this stoichiometry: 151 meV/atom
* formation energy from the elements: 0.29 eV/atom
* Fermi-level density of states: 0.28 states/eV/atom

The structure in CIF format:
```
data_Tl2CdCu
_cell_length_a 5.153
_cell_length_b 5.153
_cell_length_c 5.153
_cell_angle_alpha 60.00
_cell_angle_beta 60.00
_cell_angle_gamma 60.00
_symmetry_space_group_name_H-M 'P 1'
_symmetry_Int_Tables_number 1
loop_
_symmetry_equiv_pos_as_xyz
'x,y,z'
loop_
_atom_site_label
_atom_site_type_symbol
_atom_site_fract_x
_atom_site_fract_y
_atom_site_fract_z
Tl1 Tl 0.000 0.000 0.000
Tl2 Tl 0.250 0.250 0.250
Cd1 Cd 0.750 0.750 0.750
Cu1 Cu 0.500 0.500 0.500
```